1.
GeP2SF PBE-GGA optimized geometry; Fermi-level density of states = 0.440 states/eV per atom; raw total energy = -3.669 eV/atom; polymorph energy (0 for the lowest one) = 0.0 meV/atom; crystal system = tetragonal; energy relative to the elements, uncorrected = 618.6 meV/atom; space-group type = P4/mmm (123); total magnetic moment = 0.0 μB per cell
1.0
4.0335 0.0000 0.0000
0.0000 4.0335 0.0000
0.0000 0.0000 5.6989
Ge P S F
1 2 1 1
direct
0.0000 0.0000 0.0000 Ge
0.0000 0.5000 0.5000 P
0.5000 0.0000 0.5000 P
0.5000 0.5000 0.0000 S
0.5000 0.5000 0.5000 F

2.
GeP2SF PBE-GGA optimized geometry; Fermi-level density of states = 0.647 states/eV per atom; raw total energy = -3.519 eV/atom; polymorph energy (0 for the lowest one) = 149.3 meV/atom; crystal system = tetragonal; energy relative to the elements, uncorrected = 767.9 meV/atom; space-group type = P4/mmm (123); total magnetic moment = 0.0 μB per cell
1.0
4.7247 0.0000 0.0000
0.0000 4.7247 0.0000
0.0000 0.0000 4.6248
Ge P S F
1 2 1 1
direct
0.0000 0.0000 0.0000 Ge
0.0000 0.5000 0.0000 P
0.5000 0.0000 0.0000 P
0.0000 0.0000 0.5000 S
0.5000 0.5000 0.5000 F

3.
TlGe2PF PBE-GGA optimized geometry; Fermi-level density of states = 0.514 states/eV per atom; raw total energy = -3.594 eV/atom; crystal system = tetragonal; energy relative to the elements, uncorrected = 182.3 meV/atom; space-group type = P4/mmm (123); total magnetic moment = 0.0 μB per cell
1.0
4.4151 0.0000 0.0000
0.0000 4.4151 0.0000
0.0000 0.0000 5.5162
Tl Ge P F
1 2 1 1
direct
0.0000 0.0000 0.0000 Tl
0.0000 0.5000 0.5000 Ge
0.5000 0.0000 0.5000 Ge
0.5000 0.5000 0.0000 P
0.5000 0.5000 0.5000 F

4.
PaGeF PBE-GGA optimized geometry; Fermi-level density of states = 1.619 states/eV per atom; raw total energy = -6.763 eV/atom; polymorph energy (0 for the lowest one) = 191.5 meV/atom; crystal system = trigonal; energy relative to the elements, uncorrected = -1434.6 meV/atom; space-group type = R-3m (166); total magnetic moment = 3.2 μB per cell
1.0
1.8904 1.0914 9.2263
-1.8904 1.0914 9.2263
0.0000 -2.1829 9.2263
Pa Ge F
2 2 2
direct
0.2381 0.2381 0.2381 Pa
0.7619 0.7619 0.7619 Pa
0.3554 0.3554 0.3554 Ge
0.6446 0.6446 0.6446 Ge
0.1416 0.1416 0.1416 F
0.8584 0.8584 0.8584 F

5.
PaGeF PBE-GGA optimized geometry; Fermi-level density of states = 0.500 states/eV per atom; raw total energy = -6.954 eV/atom; polymorph energy (0 for the lowest one) = 0.0 meV/atom; crystal system = hexagonal; energy relative to the elements, uncorrected = -1626.1 meV/atom; space-group type = P-6m2 (187); total magnetic moment = 0.0 μB per cell
1.0
4.0659 0.0000 0.0000
-2.0329 3.5212 0.0000
0.0000 0.0000 4.0010
Pa Ge F
1 1 1
direct
0.0000 0.0000 0.0000 Pa
0.6667 0.3333 0.5000 Ge
0.3333 0.6667 0.0000 F

6.
GePb2F8 PBE-GGA optimized geometry; Fermi-level density of states = 0.000 states/eV per atom; raw total energy = -4.904 eV/atom; crystal system = monoclinic; energy relative to the elements, uncorrected = -2449.3 meV/atom; space-group type = C2/m (12); total magnetic moment = 0.0 μB per cell
1.0
5.1497 -3.7934 0.0000
5.1497 3.7934 0.0000
-1.5418 0.0000 4.5776
Ge Pb F
1 2 8
direct
0.0000 0.0000 0.0000 Ge
0.3420 0.3420 0.6610 Pb
0.6580 0.6580 0.3390 Pb
0.0610 0.7179 0.7626 F
0.1122 0.1122 0.7823 F
0.2821 0.9390 0.2374 F
0.4150 0.4150 0.1916 F
0.5850 0.5850 0.8084 F
0.7179 0.0610 0.7626 F
0.8878 0.8878 0.2177 F
0.9390 0.2821 0.2374 F

7.
GePbF2 PBE-GGA optimized geometry; Fermi-level density of states = 0.267 states/eV per atom; raw total energy = -4.057 eV/atom; polymorph energy (0 for the lowest one) = 322.1 meV/atom; crystal system = tetragonal; energy relative to the elements, uncorrected = -1040.4 meV/atom; space-group type = I-42d (122); total magnetic moment = 0.0 μB per cell
1.0
-2.9640 2.9640 5.3818
2.9640 -2.9640 5.3818
2.9640 2.9640 -5.3818
Ge Pb F
2 2 4
direct
0.0000 0.0000 0.0000 Ge
0.7500 0.2500 0.5000 Ge
0.2500 0.7500 0.5000 Pb
0.5000 0.5000 0.0000 Pb
0.0045 0.6250 0.8795 F
0.3750 0.2545 0.3795 F
0.7455 0.1250 0.1205 F
0.8750 0.9955 0.6205 F

8.
GePb2F PBE-GGA optimized geometry; Fermi-level density of states = 0.406 states/eV per atom; raw total energy = -4.067 eV/atom; polymorph energy (0 for the lowest one) = 0.0 meV/atom; crystal system = cubic; energy relative to the elements, uncorrected = -591.0 meV/atom; space-group type = Fm-3m (225); total magnetic moment = 0.0 μB per cell
1.0
0.0000 3.5509 3.5509
3.5509 0.0000 3.5509
3.5509 3.5509 0.0000
Ge Pb F
1 2 1
direct
0.0000 0.0000 0.0000 Ge
0.2500 0.2500 0.2500 Pb
0.7500 0.7500 0.7500 Pb
0.5000 0.5000 0.5000 F